w.
# TiNi6Sn | Alexandria via LeMat-Bulk | PBE-GGA | relaxed
data_TiNi6Sn
_space_group_name_H-M_alt 'P -6 m 2'
_space_group_IT_number 187
_space_group_name_Hall 'P -6 2'
_cell_length_a 5.2094
_cell_length_b 5.2094
_cell_length_c 4.2152
_cell_angle_alpha 90.00
_cell_angle_beta 90.00
_cell_angle_gamma 120.00
loop_
_atom_site_label
_atom_site_type_symbol
_atom_site_fract_x
_atom_site_fract_y
_atom_site_fract_z
Ti1 Ti 0.0000 0.0000 0.0000
Ni1 Ni 0.3400 0.1700 0.5000
Ni2 Ni 0.5079 0.0158 0.0000
Sn1 Sn 0.3333 0.6667 0.5000
# Volume in Å³ per atom: 12.384

x.
# TiNi6Sn | Alexandria via LeMat-Bulk | PBE-GGA | relaxed
data_TiNi6Sn
_space_group_name_H-M_alt 'C m m m'
_space_group_IT_number 65
_space_group_name_Hall '-C 2 2'
_cell_length_a 7.3344
_cell_length_b 10.3861
_cell_length_c 10.4013
_cell_angle_alpha 90.00
_cell_angle_beta 90.00
_cell_angle_gamma 90.00
loop_
_atom_site_label
_atom_site_type_symbol
_atom_site_fract_x
_atom_site_fract_y
_atom_site_fract_z
Ti1 Ti 0.0000 0.0000 0.2463
Ti2 Ti 0.0000 0.2470 0.0000
Ni1 Ni 0.0000 0.0000 0.0000
Ni2 Ni 0.0000 0.0000 0.5000
Ni3 Ni 0.0000 0.2454 0.2436
Ni4 Ni 0.0000 0.5000 0.0000
Ni5 Ni 0.0000 0.5000 0.5000
Ni6 Ni 0.2447 0.1224 0.3710
Ni7 Ni 0.2448 0.1273 0.1212
Sn1 Sn 0.0000 0.2501 0.5000
Sn2 Sn 0.0000 0.5000 0.2464
# Volume in Å³ per atom: 12.380

Of them, w has the lowest stability.

w.
# TlNi2Sn2 | Alexandria via LeMat-Bulk | PBE-GGA | relaxed
data_TlNi2Sn2
_space_group_name_H-M_alt 'I 4/m m m'
_space_group_IT_number 139
_space_group_name_Hall '-I 4 2'
_cell_length_a 4.3998
_cell_length_b 4.3998
_cell_length_c 10.8803
_cell_angle_alpha 90.00
_cell_angle_beta 90.00
_cell_angle_gamma 90.00
loop_
_atom_site_label
_atom_site_type_symbol
_atom_site_fract_x
_atom_site_fract_y
_atom_site_fract_z
Tl1 Tl 0.0000 0.0000 0.0000
Ni1 Ni 0.0000 0.0000 0.3846
Sn1 Sn 0.0000 0.5000 0.2500
# Volume in Å³ per atom: 21.062

x.
# TlNi2Sn2 | Alexandria via LeMat-Bulk | PBE-GGA | relaxed
data_TlNi2Sn2
_space_group_name_H-M_alt 'P 4/m b m'
_space_group_IT_number 127
_space_group_name_Hall '-P 4 2ab'
_cell_length_a 7.6175
_cell_length_b 7.6175
_cell_length_c 3.3161
_cell_angle_alpha 90.00
_cell_angle_beta 90.00
_cell_angle_gamma 90.00
loop_
_atom_site_label
_atom_site_type_symbol
_atom_site_fract_x
_atom_site_fract_y
_atom_site_fract_z
Tl1 Tl 0.0000 0.0000 0.0000
Ni1 Ni 0.1248 0.3752 0.0000
Sn1 Sn 0.1593 0.6593 0.5000
# Volume in Å³ per atom: 19.242

Of them, w has the lowest stability.

w.
# Tl3NiSn | Alexandria via LeMat-Bulk | PBE-GGA | relaxed
data_Tl3NiSn
_space_group_name_H-M_alt 'P m -3 m'
_space_group_IT_number 221
_space_group_name_Hall '-P 4 2 3'
_cell_length_a 5.8393
_cell_length_b 5.8393
_cell_length_c 5.8393
_cell_angle_alpha 90.00
_cell_angle_beta 90.00
_cell_angle_gamma 90.00
loop_
_atom_site_label
_atom_site_type_symbol
_atom_site_fract_x
_atom_site_fract_y
_atom_site_fract_z
Tl1 Tl 0.0000 0.0000 0.5000
Ni1 Ni 0.5000 0.5000 0.5000
Sn1 Sn 0.0000 0.0000 0.0000
# Volume in Å³ per atom: 39.820

x.
# Tl3NiSn | Alexandria via LeMat-Bulk | PBE-GGA | relaxed
data_Tl3NiSn
_space_group_name_H-M_alt 'P m -3 m'
_space_group_IT_number 221
_space_group_name_Hall '-P 4 2 3'
_cell_length_a 5.1521
_cell_length_b 5.1521
_cell_length_c 5.1521
_cell_angle_alpha 90.00
_cell_angle_beta 90.00
_cell_angle_gamma 90.00
loop_
_atom_site_label
_atom_site_type_symbol
_atom_site_fract_x
_atom_site_fract_y
_atom_site_fract_z
Tl1 Tl 0.0000 0.0000 0.5000
Ni1 Ni 0.0000 0.0000 0.0000
Sn1 Sn 0.5000 0.5000 0.5000
# Volume in Å³ per atom: 27.351

Of them, w has the lowest stability.